(1)
A plane-wave DFT calculation with PBE was carried out for a relaxed BaAlAg2F6 crystal.

Lattice parameters (Å, degrees): 5.948 6.927 7.505 90.00 90.01 90.00
Sites, in units of the cell vectors:
Ba: 0.500 0.000 0.000
Ba: 0.000 0.500 0.500
Al: 0.500 0.000 0.500
Al: 0.000 0.500 0.000
Ag: 0.000 0.000 0.193
Ag: 0.500 0.500 0.693
Ag: 0.000 0.000 0.807
Ag: 0.500 0.500 0.307
F: 0.256 0.649 0.000
F: 0.756 0.851 0.500
F: 0.744 0.351 0.000
F: 0.244 0.149 0.500
F: 0.370 0.852 0.324
F: 0.870 0.648 0.824
F: 0.630 0.148 0.676
F: 0.130 0.352 0.176
F: 0.870 0.648 0.176
F: 0.370 0.852 0.676
F: 0.130 0.352 0.824
F: 0.630 0.148 0.324

Output
Energy relative to the elements, uncorrected ... -2547 meV per atom
Space group ... No. 58
Volume ... 155 Å³/f.u.


(2)
A plane-wave DFT calculation with PBE was carried out for a relaxed GdHfIrRh crystal.

Lattice parameters (Å, degrees): 4.756 4.756 4.756 60.00 60.00 60.00
Last column: magnetic moment on the atom in μB.
Sites, in units of the cell vectors:
Gd: 0.500 0.500 0.500  7.00
Rh: 0.750 0.750 0.750  -0.02
Ir: 0.250 0.250 0.250  -0.05
Hf: 0.000 0.000 0.000  0.05

Output
Electronic total energy ... -10.84 eV/atom
Space group ... No. 216
Volume ... 76 Å³/f.u.


(3)
A plane-wave DFT calculation with PBE was carried out for a relaxed ZnCo2Ni crystal.

Lattice parameters (Å, degrees): 4.355 4.355 4.434 80.88 80.88 33.65
Last column: magnetic moment on the atom in μB.
Sites, in units of the cell vectors:
Co: 0.004 0.004 0.979  1.52
Co: 0.750 0.750 0.765  1.47
Ni: 0.497 0.497 0.496  0.43
Zn: 0.249 0.249 0.261  -0.05

Output
Electronic total energy ... -5.32 eV/atom
Space group ... No. 8
Volume ... 46 Å³/f.u.


(4)
A plane-wave DFT calculation with PBE was carried out for a relaxed SiRh2Br crystal.

Lattice parameters (Å, degrees): 5.379 5.379 5.379 140.40 140.40 57.24
Sites, in units of the cell vectors:
Br: 0.750 0.250 0.500
Rh: 0.000 0.000 0.000
Rh: 0.250 0.750 0.500
Si: 0.500 0.500 0.000

Output
Energy relative to the elements, uncorrected ... 309 meV per atom
Space group ... No. 119
Volume ... 63 Å³/f.u.
Polymorph energy (0 for the lowest one) ... 0.635 eV per atom


(5)
A plane-wave DFT calculation with PBE was carried out for a relaxed RbSr2CaCd crystal.

Lattice parameters (Å, degrees): 6.521 6.521 6.286 90.00 90.00 90.00
Sites, in units of the cell vectors:
Sr: 0.000 0.500 0.000
Sr: 0.500 0.000 0.000
Ca: 0.000 0.000 0.500
Rb: 0.500 0.500 0.500
Cd: 0.000 0.000 0.000

Output
Electronic total energy ... -1.44 eV/atom
Space group ... No. 123
Volume ... 267 Å³/f.u.


(6)
A plane-wave DFT calculation with PBE was carried out for a relaxed Na8AsO3 crystal.

Lattice parameters (Å, degrees): 5.998 5.998 5.998 90.00 90.00 90.00
Last column: magnetic moment on the atom in μB.
Sites, in units of the cell vectors:
Na: 0.266 0.266 0.266  0.00
Na: 0.734 0.734 0.266  0.00
Na: 0.734 0.266 0.734  0.00
Na: 0.266 0.734 0.734  0.00
Na: 0.266 0.266 0.734  0.00
Na: 0.734 0.734 0.734  0.00
Na: 0.734 0.266 0.266  0.00
Na: 0.266 0.734 0.266  0.00
As: 0.000 0.000 0.000  0.31
O: 0.000 0.500 0.500  0.09
O: 0.500 0.500 0.000  0.09
O: 0.500 0.000 0.500  0.09

Output
Energy relative to the elements, uncorrected ... -825 meV per atom
Space group ... No. 221
Volume ... 216 Å³/f.u.


(7)
A plane-wave DFT calculation with PBE was carried out for a relaxed Np3Mn5Te12 crystal.

Lattice parameters (Å, degrees): 14.722 14.722 14.722 109.47 109.47 109.47
Last column: magnetic moment on the atom in μB.
Sites, in units of the cell vectors:
Np: 0.750 0.375 0.125  -3.69
Np: 0.875 0.750 0.125  -3.69
Np: 0.375 0.750 0.625  -3.69
Np: 0.250 0.125 0.375  -3.69
Np: 0.875 0.125 0.250  -3.69
Np: 0.375 0.625 0.250  -3.69
Np: 0.625 0.375 0.750  -3.69
Np: 0.125 0.875 0.750  -3.69
Np: 0.750 0.875 0.625  -3.69
Np: 0.625 0.250 0.375  -3.69
Np: 0.125 0.250 0.875  -3.69
Np: 0.250 0.625 0.875  -3.69
Te: 0.711 0.123 0.037  0.01
Te: 0.326 0.537 0.414  0.01
Te: 0.963 0.377 0.289  0.01
Te: 0.537 0.211 0.123  0.01
Te: 0.588 0.711 0.674  0.01
Te: 0.963 0.586 0.174  0.01
Te: 0.326 0.789 0.412  0.01
Te: 0.086 0.912 0.123  0.01
Te: 0.586 0.963 0.674  0.01
Te: 0.711 0.588 0.174  0.01
Te: 0.789 0.463 0.377  0.01
Te: 0.826 0.914 0.037  0.01
Te: 0.123 0.711 0.537  0.01
Te: 0.377 0.414 0.088  0.01
Te: 0.088 0.914 0.377  0.01
Te: 0.412 0.123 0.586  0.01
Te: 0.088 0.174 0.211  0.01
Te: 0.463 0.674 0.086  0.01
Te: 0.826 0.912 0.289  0.01
Te: 0.123 0.412 0.086  0.01
Te: 0.377 0.963 0.789  0.01
Te: 0.586 0.623 0.412  0.01
Te: 0.914 0.826 0.537  0.01
Te: 0.789 0.326 0.912  0.01
Te: 0.414 0.377 0.588  0.01
Te: 0.086 0.174 0.463  0.01
Te: 0.211 0.674 0.088  0.01
Te: 0.174 0.088 0.711  0.01
Te: 0.623 0.037 0.211  0.01
Te: 0.877 0.588 0.914  0.01
Te: 0.537 0.326 0.914  0.01
Te: 0.588 0.877 0.414  0.01
Te: 0.912 0.826 0.789  0.01
Te: 0.912 0.086 0.623  0.01
Te: 0.877 0.289 0.463  0.01
Te: 0.174 0.086 0.963  0.01
Te: 0.623 0.586 0.912  0.01
Te: 0.414 0.037 0.326  0.01
Te: 0.289 0.412 0.826  0.01
Te: 0.211 0.537 0.623  0.01
Te: 0.914 0.088 0.877  0.01
Te: 0.674 0.211 0.588  0.01
Te: 0.463 0.789 0.877  0.01
Te: 0.037 0.414 0.826  0.01
Te: 0.412 0.289 0.326  0.01
Te: 0.037 0.623 0.711  0.01
Te: 0.674 0.463 0.586  0.01
Te: 0.289 0.877 0.963  0.01
Mn: 0.125 0.375 0.250  3.90
Mn: 0.000 0.500 0.000  3.71
Mn: 0.000 0.000 0.000  3.71
Mn: 0.375 0.250 0.125  3.90
Mn: 0.500 0.000 0.500  3.71
Mn: 0.500 0.500 0.000  3.71
Mn: 0.125 0.750 0.375  3.90
Mn: 0.750 0.125 0.875  3.90
Mn: 0.750 0.625 0.375  3.90
Mn: 0.375 0.125 0.750  3.90
Mn: 0.625 0.875 0.250  3.90
Mn: 0.500 0.500 0.500  3.71
Mn: 0.500 0.000 0.000  3.71
Mn: 0.000 0.000 0.500  3.71
Mn: 0.250 0.375 0.625  3.90
Mn: 0.250 0.875 0.125  3.90
Mn: 0.000 0.500 0.500  3.71
Mn: 0.875 0.250 0.625  3.90
Mn: 0.625 0.750 0.875  3.90
Mn: 0.875 0.625 0.750  3.90

Output
Energy relative to the elements, uncorrected ... -265 meV per atom
Space group ... No. 230
Volume ... 614 Å³/f.u.


(8)
A plane-wave DFT calculation with PBE was carried out for a relaxed HgOs2Ru crystal.

Lattice parameters (Å, degrees): 4.900 4.900 4.900 132.87 132.87 68.85
Sites, in units of the cell vectors:
Hg: 0.750 0.250 0.500
Os: 0.000 0.000 0.000
Os: 0.250 0.750 0.500
Ru: 0.500 0.500 0.000

Output
Electronic total energy ... -7.22 eV/atom
Space group ... No. 119
Volume ... 62 Å³/f.u.